No. 1
Crystalline Rb2UInS5 at its relaxed geometry. Source: Alexandria via LeMat-Bulk, functional GGA-PBE.

The space group is Cmc2_1 (No. 36) and the conventional cell measures 4.1134, 19.1299 and 14.5356 Å, with angles of 90.00, 90.00 and 90.00 degrees. Symmetry generates all atoms from Rb at (0.0000, 0.1023, 0.0000), Rb at (0.0000, 0.1294, 0.6478), U at (0.0000, 0.2113, 0.3559), In at (0.0000, 0.4356, 0.7597), S at (0.0000, 0.0667, 0.3668), S at (0.0000, 0.2877, 0.9702), S at (0.0000, 0.3011, 0.7336), S at (0.0000, 0.3377, 0.3336) and S at (0.0000, 0.4971, 0.6204).

The uncorrected formation energy is -1.108 eV/atom.

No. 2
Crystalline Rb2HfAu at its relaxed geometry. Source: Alexandria via LeMat-Bulk, functional GGA-PBE.

The space group is I-42d (No. 122) and the conventional cell measures 12.8023, 12.8023 and 5.2148 Å, with angles of 90.00, 90.00 and 90.00 degrees. Symmetry generates all atoms from Rb at (0.0977, 0.2500, 0.1250), Hf at (0.0000, 0.0000, 0.5000) and Au at (0.0000, 0.0000, 0.0000).

As for the calculated formation energy: 0.6751 eV/atom.

Number 1: total energy -5.1749 eV per atom, total moment 3.98 μB/cell. Number 2: total energy -3.1164 eV per atom, total moment 0.00 μB/cell.